Record 1
BaPdSe2 at its PBEsol-relaxed geometry. Source: the Alexandria database, functional meta-GGA SCAN.

Values from the calculation:
- raw formation energy (eV per atom) = -0.407
- calculated volume (Å³ per atom) = 28.5
- density (g cm⁻³) = 5.8

a b c (Å): 3.8863 3.8863 26.1843
angles (deg): 90.00 90.00 120.00
Closest atoms and distances in Å follow each position.
Space group R-3m (No. 166, hexagonal axes)
Inequivalent atoms, fractional coordinates:
Ba 0.0000 0.0000 0.0000 [3 per cell]  2 Se 3.14
Pd 0.0000 0.0000 0.5000 [3 per cell]  6 Se 2.55
Se 0.0000 0.0000 0.1201 [6 per cell]  3 Pd 2.55


Record 2
BaPdSe2 at its PBEsol-relaxed geometry. Source: the Alexandria database, functional meta-GGA SCAN.

Values from the calculation:
- raw formation energy (eV per atom) = -0.635
- calculated volume (Å³ per atom) = 23.2
- density (g cm⁻³) = 7.2

a b c (Å): 7.1843 7.1843 7.1843
angles (deg): 90.00 90.00 90.00
Closest atoms and distances in Å follow each position.
Space group Fm-3m (No. 225)
Inequivalent atoms, fractional coordinates:
Ba 0.0000 0.0000 0.0000 [4 per cell]  8 Se 3.11
Pd 0.0000 0.0000 0.5000 [4 per cell]  8 Se 3.11
Se 0.2500 0.2500 0.2500 [8 per cell]  4 Ba 3.11, 4 Pd 3.11


Record 3
BaSn2PdSe at its PBEsol-relaxed geometry. Source: the Alexandria database, functional meta-GGA SCAN.

Values from the calculation:
- raw formation energy (eV per atom) = -0.501
- calculated volume (Å³ per atom) = 28.6
- density (g cm⁻³) = 6.5

a b c (Å): 5.0761 5.0761 5.5552
angles (deg): 90.00 90.00 90.00
Closest atoms and distances in Å follow each position.
Space group P4/mmm (No. 123)
Inequivalent atoms, fractional coordinates:
Ba 0.0000 0.0000 0.0000 [1 per cell]  4 Se 3.59, 8 Sn 3.76
Sn 0.0000 0.5000 0.5000 [2 per cell]  2 Pd 2.54
Pd 0.5000 0.5000 0.5000 [1 per cell]  4 Sn 2.54, 2 Se 2.78
Se 0.5000 0.5000 0.0000 [1 per cell]  2 Pd 2.78


Record 4
BaSiPd at its PBEsol-relaxed geometry. Source: the Alexandria database, functional meta-GGA SCAN.

Values from the calculation:
- raw formation energy (eV per atom) = -0.794
- calculated volume (Å³ per atom) = 24.4
- density (g cm⁻³) = 6.2

a b c (Å): 6.6417 6.6417 6.6417
angles (deg): 90.00 90.00 90.00
Closest atoms and distances in Å follow each position.
Space group P2_13 (No. 198)
Inequivalent atoms, fractional coordinates:
Ba 0.1348 0.1348 0.1348 [4 per cell]  4 Pd 3.12-3.41, 4 Si 3.34-3.48
Si 0.1554 0.3446 0.6554 [4 per cell]  3 Pd 2.38
Pd 0.0936 0.5936 0.9064 [4 per cell]  3 Si 2.38


Record 5
BaSr2SnPd at its PBEsol-relaxed geometry. Source: the Alexandria database, functional meta-GGA SCAN.

Values from the calculation:
- calculated volume (Å³ per atom) = 35.4
- DFT formation energy (eV/atom) = -0.48
- density (g cm⁻³) = 5.0

a b c (Å): 5.7881 5.7881 5.2886
angles (deg): 90.00 90.00 90.00
Closest atoms and distances in Å follow each position.
Space group P4/mmm (No. 123)
Inequivalent atoms, fractional coordinates:
Ba 0.0000 0.0000 0.0000 [1 per cell]  8 Sr 3.92, 4 Sn 4.09
Sr 0.0000 0.5000 0.5000 [2 per cell]  2 Pd 2.89
Sn 0.5000 0.5000 0.0000 [1 per cell]  2 Pd 2.64
Pd 0.5000 0.5000 0.5000 [1 per cell]  2 Sn 2.64, 4 Sr 2.89


Record 6
Ba3SrPd at its PBEsol-relaxed geometry. Source: the Alexandria database, functional meta-GGA SCAN.

Values from the calculation:
- calculated volume (Å³ per atom) = 49.4
- DFT formation energy (eV/atom) = -0.26
- density (g cm⁻³) = 4.1

a b c (Å): 6.2728 6.2728 6.2728
angles (deg): 90.00 90.00 90.00
Closest atoms and distances in Å follow each position.
Space group Pm-3m (No. 221)
Inequivalent atoms, fractional coordinates:
Ba 0.0000 0.0000 0.5000 [3 per cell]  2 Pd 3.14
Sr 0.5000 0.5000 0.5000 [1 per cell]  12 Ba 4.44
Pd 0.0000 0.0000 0.0000 [1 per cell]  6 Ba 3.14


calculated volume of number 2 (BaPdSe2)?
23.2 Å³ per atom